1.
Here is a relaxed MnFe3 crystal from Alexandria via LeMat-Bulk. Energies are from PBEsol.

Results
The magnetization comes out at 1.800 μB per atom. The calculated formation energy is 0.087 eV per atom.

```
MnFe3
1.0
-0.4191 2.3968 1.3107
-2.6607 -0.0578 -0.7451
-1.2554 -2.7894 4.6993
Fe Mn
3 1
direct
0.5000 0.5000 0.0000
0.0000 0.0000 0.7483
0.0000 0.0000 0.2517
0.5000 0.5000 0.5000
```

***

2.
Here is a relaxed Sc2MoAu crystal from Alexandria via LeMat-Bulk. Energies are from PBEsol.

Results
The polymorph energy (0 for the lowest one) is 0.0 meV per atom. The magnetization comes out at 0.000 μB per atom. The calculated formation energy is -0.158 eV per atom.

```
Sc2MoAu
1.0
3.1018 0.0000 0.0000
0.0000 4.8664 -0.0569
-1.5509 -1.5649 4.8909
Sc Au Mo
2 1 1
direct
0.9873 0.9389 0.9746
0.7668 0.3171 0.5336
0.5094 0.4406 0.0189
0.2364 0.8034 0.4728
```

***

3.
Here is a relaxed Tb8Ga3Co crystal from Alexandria via LeMat-Bulk. Energies are from PBEsol.

Results
The magnetization comes out at 0.000 μB per atom. The calculated formation energy is -0.412 eV per atom.

```
Tb8Ga3Co
1.0
-0.9657 -2.6300 6.1585
9.6709 -2.1390 0.6030
-3.3523 8.7675 3.2185
Tb Ga Co
16 6 2
direct
0.2091 0.0718 0.5359
0.2281 0.0000 0.0000
0.0085 0.3446 0.1723
0.3287 0.6667 0.3333
0.5085 0.6554 0.8277
0.7091 0.5359 0.4641
0.7091 0.5359 0.0718
0.2091 0.4641 0.5359
0.5085 0.1723 0.8277
0.7281 0.0000 0.0000
0.0085 0.8277 0.6554
0.8287 0.3333 0.6667
0.2091 0.4641 0.9282
0.0085 0.8277 0.1723
0.5085 0.1723 0.3446
0.7091 0.9282 0.4641
0.4620 0.8363 0.1637
0.9620 0.6726 0.8363
0.4620 0.3274 0.1637
0.9620 0.1637 0.8363
0.4620 0.8363 0.6726
0.9620 0.1637 0.3274
0.9416 0.6667 0.3333
0.4416 0.3333 0.6667
```

***

4.
Here is a relaxed Y2AlCo3 crystal from Alexandria via LeMat-Bulk. Energies are from PBEsol.

Results
The magnetization comes out at 0.002 μB per atom. The calculated formation energy is -0.305 eV per atom.

```
Y2AlCo3
1.0
4.9037 0.0098 0.0072
2.0853 4.4382 0.0072
2.0853 1.3271 4.2352
Co Y Al
3 2 1
direct
0.0000 0.0000 0.5000
0.0000 0.5000 0.0000
0.5000 0.0000 0.0000
0.6277 0.6277 0.6277
0.3723 0.3723 0.3723
0.0000 0.0000 0.0000
```

***

5.
Here is a relaxed Ca2Tl2Cd crystal from Alexandria via LeMat-Bulk. Energies are from PBEsol.

Results
The magnetization comes out at 0.000 μB per atom. The calculated formation energy is -0.331 eV per atom.

```
Ca2Tl2Cd
1.0
4.1017 0.0000 0.0000
0.0000 8.2108 0.0000
0.0000 0.0000 8.2108
Tl Cd Ca
4 2 4
direct
0.0000 0.8654 0.6346
0.0000 0.1346 0.3654
0.0000 0.3654 0.8654
0.0000 0.6346 0.1346
0.0000 0.5000 0.5000
0.0000 0.0000 0.0000
0.5000 0.6674 0.8326
0.5000 0.8326 0.3326
0.5000 0.1674 0.6674
0.5000 0.3326 0.1674
```

***

6.
Here is a relaxed TlMoPb2 crystal from Alexandria via LeMat-Bulk. Energies are from PBEsol.

Results
The polymorph energy (0 for the lowest one) is 293.0 meV per atom. The magnetization comes out at 0.496 μB per atom. The calculated formation energy is 0.754 eV per atom.

```
TlMoPb2
1.0
3.3029 0.0672 0.0893
-0.1059 5.4267 0.0889
-0.1059 -1.4210 5.2381
Pb Mo Tl
2 1 1
direct
0.0000 0.5000 0.0000
0.0000 0.0000 0.5000
0.5000 0.0000 0.0000
0.5000 0.5000 0.5000
```

***

7.
Here is a relaxed YSc3 crystal from Alexandria via LeMat-Bulk. Energies are from PBEsol.

Results
The polymorph energy (0 for the lowest one) is 7.0 meV per atom. The magnetization comes out at 0.001 μB per atom. The calculated formation energy is 0.026 eV per atom.

```
YSc3
1.0
3.3580 0.0000 0.0000
0.0000 5.7862 0.0000
-1.6790 -2.8931 5.1974
Sc Y
3 1
direct
0.2449 0.2477 0.4898
0.5000 0.1666 0.0000
0.7551 0.7579 0.5102
0.0000 0.6611 0.0000
```

***

8.
Here is a relaxed Nb3O7F crystal from Alexandria via LeMat-Bulk. Energies are from PBEsol.

Results
The value obtained for the uncorrected formation energy is -2.522 eV/atom. The polymorph energy (0 for the lowest one) is 44.1 meV per atom. The magnetization comes out at 0.000 μB per atom.

```
Nb3O7F
1.0
-3.4545 -1.7328 -0.1169
0.9995 -1.7635 -3.3960
5.6128 -7.2412 5.4124
O F Nb
7 1 3
direct
0.9070 0.0000 0.8140
0.1843 0.5000 0.3685
0.2900 0.0000 0.5800
0.8157 0.5000 0.6315
0.7100 0.0000 0.4200
0.5000 0.0000 0.0000
0.0930 0.0000 0.1860
0.0000 0.5000 0.0000
0.0000 0.0000 0.0000
0.1844 0.0000 0.3687
0.8156 0.0000 0.6313
```

***

9.
Here is a relaxed GaHRh3 crystal from Alexandria via LeMat-Bulk. Energies are from PBEsol.

Results
The polymorph energy (0 for the lowest one) is 0.0 meV per atom. The magnetization comes out at 0.000 μB per atom.

```
GaHRh3
1.0
4.0972 0.0000 0.0000
0.0000 5.2570 0.0000
0.0000 0.0000 5.2570
Rh H Ga
6 2 2
direct
0.0655 0.6948 0.8052
0.0655 0.8052 0.3052
0.5712 0.0000 0.0000
0.5712 0.5000 0.5000
0.0655 0.1948 0.6948
0.0655 0.3052 0.1948
0.1064 0.5000 0.5000
0.1064 0.0000 0.0000
0.5664 0.0000 0.5000
0.5664 0.5000 0.0000
```

***

10.
Here is a relaxed Sr2CoTcF crystal from Alexandria via LeMat-Bulk. Energies are from PBEsol.

Results
The value obtained for the uncorrected formation energy is 0.553 eV/atom. The magnetization comes out at 0.656 μB per atom.

```
Sr2CoTcF
1.0
-1.2311 0.6548 -3.7252
4.7233 -2.6109 -2.0199
-2.7777 -5.0487 0.0305
Sr F Co Tc
2 1 1 1
direct
0.0000 0.5000 0.0000
0.0000 0.0000 0.5000
0.5000 0.0000 0.0000
0.5000 0.5000 0.5000
0.0000 0.0000 0.0000
```

***

11.
Here is a relaxed Tl2SbSe crystal from Alexandria via LeMat-Bulk. Energies are from PBEsol.

Results
The value obtained for the uncorrected formation energy is -0.019 eV/atom. The polymorph energy (0 for the lowest one) is 9.5 meV per atom. The magnetization comes out at 0.000 μB per atom.

```
Tl2SbSe
1.0
-0.3871 -3.7004 -0.5655
1.7434 -0.9690 5.1472
-5.4860 0.5961 -0.1454
Tl Se Sb
2 1 1
direct
0.0000 0.0000 0.5000
0.0000 0.5000 0.0000
0.5000 0.5000 0.5000
0.5000 0.0000 0.0000
```

***

12.
Here is a relaxed Ca2IrAu crystal from Alexandria via LeMat-Bulk. Energies are from PBEsol.

Results
The magnetization comes out at 0.000 μB per atom. The calculated formation energy is -0.397 eV per atom.

```
Ca2IrAu
1.0
3.3634 0.0000 0.0000
0.0000 4.9449 0.0000
0.0000 0.0000 4.9449
Ca Au Ir
2 1 1
direct
0.0000 0.5000 0.0000
0.0000 0.0000 0.5000
0.5000 0.0000 0.0000
0.5000 0.5000 0.5000
```